CrGe3Br: relaxed, PBE.

The value obtained for the density is 4.39 g cm⁻³. Its density of states at the Fermi level is 3.3 states/eV per cell. As for the polymorph energy (0 for the lowest one): 1.535 eV per atom. Its uncorrected formation energy is 1.6552 eV per atom.

extended XYZ file:
```
5
Lattice="5.0950 0.0000 0.0000 0.0000 5.0950 0.0000 0.0000 0.0000 5.0950" Properties=species:S:1:pos:R:3 pbc="T T T"
Ge 2.5475 0.0000 0.0000
Ge 0.0000 2.5475 0.0000
Ge 0.0000 0.0000 2.5475
Br 0.0000 0.0000 0.0000
Cr 2.5475 2.5475 2.5475
```



SrErZn4: relaxed, PBE.

The value obtained for the density is 6.93 g cm⁻³. Its density of states at the Fermi level is 4.3 states/eV per cell. As for the polymorph energy (0 for the lowest one): 0.136 eV per atom. The formation energy is -195 meV per atom.

extended XYZ file:
```
6
Lattice="5.5929 0.0000 0.0000 2.7964 4.8436 0.0000 2.7964 1.6145 4.5666" Properties=species:S:1:pos:R:3 pbc="T T T"
Zn 5.5929 1.5968 2.8604
Zn 7.0064 4.0452 2.8604
Zn 4.1794 4.0452 2.8604
Zn 5.5929 3.2291 0.5521
Sr 2.7964 1.6145 1.1416
Er 0.0000 0.0000 0.0000
```



FeMo2P: relaxed, PBE.

The value obtained for the density is 8.68 g cm⁻³. Its density of states at the Fermi level is 2.7 states/eV per cell. The formation energy is -91 meV per atom.

extended XYZ file:
```
4
Lattice="-0.1304 0.5323 2.8194 -2.2533 -1.7662 0.2292 3.9949 -4.9515 1.1195" Properties=species:S:1:pos:R:3 pbc="T T T"
P -0.1931 -1.8548 1.8042
Fe 1.8043 -4.3306 2.3639
Mo 1.9460 -2.4120 0.5453
Mo 0.0515 -0.0638 0.0144
```



ScZnSn3: relaxed, PBE.

The value obtained for the density is 5.56 g cm⁻³. Its density of states at the Fermi level is 3.3 states/eV per cell. As for the polymorph energy (0 for the lowest one): 0.000 eV per atom. The formation energy is 327 meV per atom.

extended XYZ file:
```
5
Lattice="5.1852 0.0000 0.0000 0.0000 5.1852 0.0000 0.0000 0.0000 5.1852" Properties=species:S:1:pos:R:3 pbc="T T T"
Sn 0.0000 2.5926 0.0000
Sn 2.5926 0.0000 0.0000
Sn 0.0000 0.0000 2.5926
Zn 0.0000 0.0000 0.0000
Sc 2.5926 2.5926 2.5926
```



Ce4SbC: relaxed, PBE.

The value obtained for the density is 7.71 g cm⁻³. Its density of states at the Fermi level is 31.2 states/eV per cell. Its uncorrected formation energy is -0.2892 eV per atom.

extended XYZ file:
```
12
Lattice="6.1816 0.0002 -0.0003 -0.0003 6.2481 -0.8021 -3.0916 -3.5232 8.1901" Properties=species:S:1:pos:R:3 pbc="T T T"
Ce 1.2823 -2.0866 6.5783
Ce 0.6874 2.2098 2.9918
Ce 3.7781 3.6395 3.9946
Ce -0.6885 -0.9144 3.3932
Ce -1.2837 1.0373 6.1771
Ce 1.8074 4.8118 0.8095
Ce 4.3734 1.6879 1.2106
Ce 2.4023 0.5153 4.3959
C 1.5450 -1.7615 4.0949
C -1.5459 1.3625 3.6940
Sb 4.7780 4.6863 -0.6017
Sb -1.6884 -1.9611 7.9894
```



NdPuPb2O6: relaxed, PBE.

The value obtained for the density is 8.82 g cm⁻³. Its density of states at the Fermi level is 9.6 states/eV per cell. Its uncorrected formation energy is -2.2373 eV per atom.

extended XYZ file:
```
10
Lattice="6.1676 0.0031 -0.0008 3.0865 5.3430 0.0005 3.0838 1.7831 5.1327" Properties=species:S:1:pos:R:3 pbc="T T T"
O 8.7230 3.5896 1.3164
O 4.5330 3.8702 4.0059
O 4.9089 1.3416 1.3173
O 7.2510 4.8269 3.9995
O 6.7214 1.9929 4.0067
O 4.8765 5.7625 1.3219
Pu 3.0843 1.7815 0.2457
Nd 9.2535 5.3478 2.9180
Pb 6.1709 3.5697 1.9876
Pb 3.0821 1.7816 4.6213
```



Ca2TeF2: relaxed, PBE.

The value obtained for the density is 4.08 g cm⁻³. Its density of states at the Fermi level is 0.0 states/eV per cell. Its uncorrected formation energy is -2.9825 eV per atom.

extended XYZ file:
```
5
Lattice="3.9845 0.0000 0.0000 0.0000 3.9845 0.0000 1.9922 1.9922 6.3025" Properties=species:S:1:pos:R:3 pbc="T T T"
Te 0.0000 0.0000 0.0000
F 1.9922 3.9845 3.1512
F 3.9845 1.9922 3.1512
Ca 1.9922 1.9922 1.8685
Ca 3.9845 3.9845 4.4340
```



Cd2Ga4Hg: relaxed, PBE.

The value obtained for the density is 7.68 g cm⁻³. Its density of states at the Fermi level is 2.4 states/eV per cell. The formation energy is 47 meV per atom.

extended XYZ file:
```
7
Lattice="4.1819 0.0000 0.0000 0.0000 4.1819 0.0000 -2.0909 -2.0909 8.7048" Properties=species:S:1:pos:R:3 pbc="T T T"
Ga 0.0000 2.0909 4.3524
Ga 2.0909 2.0909 6.0622
Ga 2.0909 0.0000 4.3524
Ga 0.0000 0.0000 2.6426
Hg 0.0000 0.0000 0.0000
Cd 0.0000 0.0000 7.1500
Cd 2.0909 2.0909 1.5548
```